# 1
PBE Rb2CuBrF3, optimized geometry; space-group type = Immm, No. 71; formation energy without anion corrections = -1.844 eV per atom
1.0
4.981 0.000 0.000
0.000 4.449 0.000
-2.490 -2.225 7.009
Rb Cu Br F
2 1 1 3
Direct
0.661 0.661 0.323 Rb
0.339 0.339 0.677 Rb
0.000 0.000 0.000 Cu
0.500 0.000 0.000 Br
0.000 0.500 0.000 F
0.143 0.143 0.286 F
0.857 0.857 0.714 F

=====

# 2
PBE Ce2SnGe, optimized geometry; space-group type = P4/mmm, No. 123
1.0
3.420 0.000 0.000
0.000 3.420 0.000
0.000 0.000 8.628
Ge Sn Ce
1 1 2
Direct
0.500 0.500 0.000 Ge
0.500 0.500 0.500 Sn
0.000 0.000 0.771 Ce
0.000 0.000 0.229 Ce

=====

# 3
PBE Pm5DyGe2, optimized geometry; space-group type = Immm, No. 71
1.0
4.485 0.000 0.000
2.242 7.194 -0.697
2.242 1.499 7.070
Pm Dy Ge
5 1 2
Direct
0.000 0.500 0.500 Pm
0.660 0.530 0.150 Pm
0.340 0.470 0.850 Pm
0.340 0.850 0.470 Pm
0.660 0.150 0.530 Pm
0.000 0.000 0.000 Dy
0.704 0.796 0.796 Ge
0.296 0.204 0.204 Ge

=====

# 4
PBE PuBrO5F, optimized geometry; space-group type = C2/c, No. 15; formation energy without anion corrections = -1.198 eV per atom
1.0
5.962 0.753 0.616
-1.020 5.922 0.616
-1.071 -1.447 7.883
Pu Br O F
2 2 10 2
Direct
0.000 0.000 0.500 Pu
0.000 0.000 0.000 Pu
0.640 0.360 0.250 Br
0.360 0.640 0.750 Br
0.053 0.947 0.250 O
0.947 0.053 0.750 O
0.839 0.323 0.104 O
0.161 0.677 0.896 O
0.677 0.161 0.396 O
0.323 0.839 0.604 O
0.862 0.735 0.500 O
0.138 0.265 0.500 O
0.265 0.138 0.000 O
0.735 0.862 0.000 O
0.406 0.594 0.250 F
0.594 0.406 0.750 F

=====

# 5
PBE LaV2P2, optimized geometry; space-group type = I4/mmm, No. 139
1.0
-0.265 -2.846 3.687
2.472 -3.216 -2.304
4.527 -1.449 2.158
P La V
2 1 2
Direct
0.750 0.250 0.500 P
0.250 0.750 0.500 P
0.000 0.000 0.000 La
0.376 0.376 0.249 V
0.624 0.624 0.751 V

=====

# 6
PBE SbIr2Br, optimized geometry; energy above the lowest structure with this stoichiometry = 480.4 meV/atom; space-group type = P4/mmm, No. 123; formation energy without anion corrections = 0.827 eV per atom
1.0
3.525 0.000 0.000
0.000 4.515 0.000
0.000 0.000 4.515
Sb Ir Br
1 2 1
Direct
0.500 0.500 0.000 Sb
0.000 0.000 0.000 Ir
0.000 0.500 0.500 Ir
0.500 0.000 0.500 Br

=====

# 7
PBE HfGa2IrSe, optimized geometry; space-group type = P4/mmm, No. 123; formation energy without anion corrections = 0.796 eV per atom
1.0
-4.551 -1.590 0.028
0.889 -2.611 -3.759
1.298 -3.664 2.852
Ir Hf Ga Se
1 1 2 1
Direct
0.000 0.500 0.000 Ir
0.500 0.500 0.500 Hf
0.000 0.000 0.500 Ga
0.500 0.000 0.000 Ga
0.000 0.000 0.000 Se

=====

# 8
PBE PrLu2Fe, optimized geometry; space-group type = P4/mmm, No. 123
1.0
3.327 0.000 0.000
0.000 3.327 0.000
0.000 0.000 8.983
Pr Lu Fe
1 2 1
Direct
0.500 0.500 0.500 Pr
0.000 0.000 0.827 Lu
0.000 0.000 0.173 Lu
0.500 0.500 0.000 Fe

=====

# 9
PBE Rb3ScTl3Cl8, optimized geometry; space-group type = R-3m, No. 166; formation energy without anion corrections = -1.549 eV per atom
1.0
-3.124 8.662 1.437
0.843 -5.898 7.162
7.481 3.387 -4.153
Rb Sc Tl Cl
3 1 3 8
Direct
0.000 0.000 0.000 Rb
0.000 0.500 0.000 Rb
0.500 0.500 0.000 Rb
0.000 0.000 0.500 Sc
0.500 0.000 0.500 Tl
0.500 0.500 0.500 Tl
0.000 0.500 0.500 Tl
0.251 0.502 0.252 Cl
0.749 0.498 0.748 Cl
0.803 0.606 0.303 Cl
0.197 0.394 0.697 Cl
0.803 0.000 0.304 Cl
0.197 0.000 0.696 Cl
0.197 0.000 0.304 Cl
0.803 0.000 0.696 Cl

=====

# 10
PBE SrSbPd3, optimized geometry; energy above the lowest structure with this stoichiometry = 0.0 meV/atom; space-group type = Imma, No. 74; formation energy without anion corrections = -0.624 eV per atom
1.0
-3.400 -2.115 -4.033
6.437 1.052 -5.978
0.035 -3.725 5.929
Sr Sb Pd
2 2 6
Direct
0.250 0.278 0.500 Sr
0.750 0.722 0.500 Sr
0.000 0.500 0.000 Sb
0.500 0.000 0.000 Sb
0.744 0.244 0.988 Pd
0.244 0.244 0.988 Pd
0.756 0.756 0.012 Pd
0.256 0.756 0.012 Pd
0.250 0.901 0.500 Pd
0.750 0.099 0.500 Pd

=====

# 11
PBE SiRuPt2, optimized geometry; space-group type = R-3m, No. 166; formation energy without anion corrections = -0.131 eV per atom
1.0
8.558 0.013 0.008
8.084 2.807 0.008
8.084 1.370 2.450
Pt Ru Si
2 1 1
Direct
0.992 0.992 0.992 Pt
0.508 0.508 0.508 Pt
0.750 0.750 0.750 Ru
0.250 0.250 0.250 Si

=====

# 12
PBE CrSiP2, optimized geometry; space-group type = Imm2, No. 44; formation energy without anion corrections = 0.227 eV per atom
1.0
-2.879 3.634 0.042
-4.260 -1.382 -1.197
3.264 -0.747 3.207
Cr P Si
1 2 1
Direct
0.759 0.259 0.500 Cr
0.016 0.016 0.000 P
0.247 0.747 0.500 P
0.478 0.478 0.000 Si

=====

How do the records compare in Fermi-level density of states? In the order shown, they have 0.875; 10.435; 9.346; 5.628; 3.685; 4.211; 5.614; 3.239; 6.926; 3.571; 4.493; 2.314 states/eV per cell.
How do the records compare in size of the total moment? In the order shown, they have 0.95; 1.44; 0.00; 2.06; 0.21; 0.00; 0.00; 0.00; 0.53; 0.00; 0.68; 0.89 μB/f.u..
How do the records compare in electronic total energy? In the order shown, they have -3.747; -5.737; -5.006; -6.531; -7.456; -5.053; -4.875; -5.562; -3.623; -4.901; -6.826; -6.240 eV/atom.